Run a
Here is BeSbIr2 after structural relaxation from Alexandria via LeMat-Bulk. Energies are from PBE-GGA.

Summary:
Symmetry = Cmmm (65)
Crystal system = orthorhombic

Cell: 4.4706 4.4706 3.0327 Å, 90.00 90.00 98.71°
Sites, in units of the cell vectors:
Be: 0.0000 0.5000 0.5000
Sb: 0.5000 0.0000 0.5000
Ir: 0.5000 0.5000 0.0000
Ir: 0.0000 0.0000 0.0000



Run b
Here is BeSbIr2 after structural relaxation from Alexandria via LeMat-Bulk. Energies are from PBE-GGA.

Summary:
Symmetry = Imm2 (44)
Crystal system = orthorhombic

Cell: 6.0243 6.0243 6.0243 Å, 150.83 144.77 46.37°
Sites, in units of the cell vectors:
Ir: 0.0650 0.0650 0.0000
Ir: 0.7665 0.2665 0.5000
Sb: 0.4465 0.4465 0.0000
Be: 0.2220 0.7220 0.5000



Run c
Here is BeSbIr2 after structural relaxation from Alexandria via LeMat-Bulk. Energies are from PBE-GGA.

Summary:
Symmetry = C2/m (12)
Crystal system = monoclinic

Cell: 4.4785 4.4785 4.9679 Å, 75.46 75.46 38.71°
Sites, in units of the cell vectors:
Ir: 0.9774 0.9774 0.0253
Be: 0.2500 0.2500 0.2500
Ir: 0.5226 0.5226 0.4747
Sb: 0.7500 0.7500 0.7500



Run d
Here is BeSbIr2 after structural relaxation from Alexandria via LeMat-Bulk. Energies are from PBE-GGA.

Summary:
Symmetry = I4/mmm (139)
Crystal system = tetragonal

Cell: 4.5432 4.5432 4.5432 Å, 126.21 126.21 79.54°
Sites, in units of the cell vectors:
Ir: 0.5000 0.5000 0.0000
Ir: 0.0000 0.0000 0.0000
Be: 0.7500 0.2500 0.5000
Sb: 0.2500 0.7500 0.5000



Which is most stable, and by how much? run d, by 3.3 kJ/mol of atoms.



Run a
Here is BeSbIr2 after structural relaxation from Alexandria via LeMat-Bulk. Energies are from PBE-GGA.

Summary:
Symmetry = Cm (8)
Crystal system = monoclinic

Cell: 4.4745 4.4745 5.0175 Å, 73.94 73.94 40.27°
Sites, in units of the cell vectors:
Ir: 0.9720 0.9720 0.1223
Sb: 0.5137 0.5137 0.5257
Ir: 0.7517 0.7517 0.7560
Be: 0.2625 0.2625 0.0959



Run b
Here is BeSbIr2 after structural relaxation from Alexandria via LeMat-Bulk. Energies are from PBE-GGA.

Summary:
Symmetry = Cmmm (65)
Crystal system = orthorhombic

Cell: 2.9044 2.9044 8.2553 Å, 90.00 90.00 117.74°
Sites, in units of the cell vectors:
Ir: 0.0000 0.0000 0.9534
Ir: 0.0000 0.0000 0.5466
Be: 0.5000 0.5000 0.7500
Sb: 0.5000 0.5000 0.2500



Run c
Here is BeSbIr2 after structural relaxation from Alexandria via LeMat-Bulk. Energies are from PBE-GGA.

Summary:
Symmetry = Cmm2 (35)
Crystal system = orthorhombic

Cell: 2.8962 2.8962 8.7637 Å, 90.00 90.00 118.67°
Sites, in units of the cell vectors:
Ir: 0.0000 0.0000 0.9717
Sb: 0.0000 0.0000 0.5023
Ir: 0.5000 0.5000 0.2398
Be: 0.5000 0.5000 0.7862



Which is most stable, and by how much? run a, by 27.1 kJ/mol of atoms.



Run a
Here is BeSbIr2 after structural relaxation from Alexandria via LeMat-Bulk. Energies are from PBE-GGA.

Summary:
Symmetry = Fm-3m (225)
Crystal system = cubic

Cell: 4.3809 4.3809 4.3809 Å, 60.00 60.00 60.00°
Sites, in units of the cell vectors:
Be: 0.0000 0.0000 0.0000
Ir: 0.7500 0.7500 0.7500
Ir: 0.2500 0.2500 0.2500
Sb: 0.5000 0.5000 0.5000



Run b
Here is BeSbIr2 after structural relaxation from Alexandria via LeMat-Bulk. Energies are from PBE-GGA.

Summary:
Symmetry = Pmm2 (25)
Crystal system = orthorhombic

Cell: 2.9286 3.6270 5.8394 Å, 90.00 90.00 90.00°
Sites, in units of the cell vectors:
Sb: 0.0000 0.0000 0.4779
Ir: 0.0000 0.0000 0.9243
Ir: 0.5000 0.5000 0.2486
Be: 0.5000 0.5000 0.8492



Which is most stable, and by how much? run b, by 7.5 kJ/mol of atoms.



Run a
Here is BeSbIr2 after structural relaxation from Alexandria via LeMat-Bulk. Energies are from PBE-GGA.

Summary:
Symmetry = P2/m (10)
Crystal system = monoclinic

Cell: 3.0078 2.9899 7.1922 Å, 65.14 90.00 90.00°
Sites, in units of the cell vectors:
Be: 0.5000 0.7500 0.7500
Sb: 0.5000 0.2500 0.2500
Ir: 0.0000 0.0356 0.9590
Ir: 0.0000 0.4644 0.5410



Run b
Here is BeSbIr2 after structural relaxation from Alexandria via LeMat-Bulk. Energies are from PBE-GGA.

Summary:
Symmetry = F-43m (216)
Crystal system = cubic

Cell: 4.4385 4.4385 4.4385 Å, 60.00 60.00 60.00°
Sites, in units of the cell vectors:
Be: 0.5000 0.5000 0.5000
Ir: 0.2500 0.2500 0.2500
Sb: 0.7500 0.7500 0.7500
Ir: 0.0000 0.0000 0.0000



Which is most stable, and by how much? run a, by 40.7 kJ/mol of atoms.



Run a
Here is BeSbIr2 after structural relaxation from Alexandria via LeMat-Bulk. Energies are from PBE-GGA.

Summary:
Symmetry = I-42d (122)
Crystal system = tetragonal

Cell: 4.0786 4.0786 8.6247 Å, 76.32 76.32 90.00°
Sites, in units of the cell vectors:
Be: 0.5000 0.5000 0.0000
Be: 0.2500 0.7500 0.5000
Ir: 0.1753 0.6250 0.2500
Ir: 0.8750 0.8247 0.7500
Ir: 0.3750 0.4253 0.7500
Sb: 0.7500 0.2500 0.5000
Ir: 0.5747 0.1250 0.2500
Sb: 0.0000 0.0000 0.0000



Run b
Here is BeSbIr2 after structural relaxation from Alexandria via LeMat-Bulk. Energies are from PBE-GGA.

Summary:
Symmetry = I-4m2 (119)
Crystal system = tetragonal

Cell: 4.9667 4.9667 4.9667 Å, 135.29 135.29 65.07°
Sites, in units of the cell vectors:
Ir: 0.2500 0.7500 0.5000
Sb: 0.5000 0.5000 0.0000
Be: 0.7500 0.2500 0.5000
Ir: 0.0000 0.0000 0.0000



Run c
Here is BeSbIr2 after structural relaxation from Alexandria via LeMat-Bulk. Energies are from PBE-GGA.

Summary:
Symmetry = R-3m (166)
Crystal system = trigonal

Cell: 7.8036 7.8036 7.8036 Å, 22.33 22.33 22.33°
Sites, in units of the cell vectors:
Ir: 0.4864 0.4864 0.4864
Ir: 0.0136 0.0136 0.0136
Be: 0.7500 0.7500 0.7500
Sb: 0.2500 0.2500 0.2500



Which is most stable, and by how much? run c, by 1.3 kJ/mol of atoms.



Run a
Here is BeSbIr after structural relaxation from Alexandria via LeMat-Bulk. Energies are from PBE-GGA.

Summary:
Symmetry = P3m1 (156)
Crystal system = trigonal

Cell: 3.0971 3.0971 5.8523 Å, 90.00 90.00 120.00°
Sites, in units of the cell vectors:
Ir: 0.3333 0.6667 0.2966
Sb: 0.6667 0.3333 0.6636
Be: 0.0000 0.0000 0.0398



Run b
Here is BeSbIr after structural relaxation from Alexandria via LeMat-Bulk. Energies are from PBE-GGA.

Summary:
Symmetry = F-43m (216)
Crystal system = cubic

Cell: 4.2205 4.2205 4.2205 Å, 60.00 60.00 60.00°
Sites, in units of the cell vectors:
Be: 0.5000 0.5000 0.5000
Sb: 0.0000 0.0000 0.0000
Ir: 0.2500 0.2500 0.2500



Which is most stable, and by how much? run b, by 26.4 kJ/mol of atoms.